Density functional theory data (PBE-GGA) for an optimized crystal structure of KBa6Pt2.

space-group type: No. 146
formation energy from the elements: -307 kJ/mol of formula units
DFT total energy: -3.100 eV/atom

Structure (extended XYZ):
```
9
Lattice="4.287 2.475 7.613 -4.287 2.475 7.613 0.000 -4.950 7.613" Properties=species:S:1:pos:R:3 pbc="T T T"
K 0.000 0.000 0.000
Ba -2.259 -0.713 8.504
Ba -1.083 -2.572 12.139
Ba 1.747 -1.599 8.504
Ba -1.685 2.224 12.139
Ba 0.511 2.313 8.504
Ba 2.769 0.348 12.139
Pt 0.000 0.000 6.373
Pt 0.000 0.000 10.571
```